The following is a PBE calculation of crystalline YGaTeI2 at its relaxed geometry, from Alexandria via LeMat-Bulk.

a = 6.0247 Å, b = 6.0247 Å, c = 5.9292 Å
α = 90.00°, β = 90.00°, γ = 90.00°
Sites, in units of the cell vectors:
Y 0.0000 0.0000 0.0000
Ga 0.5000 0.5000 0.5000
Te 0.0000 0.0000 0.5000
I 0.0000 0.5000 0.0000
I 0.5000 0.0000 0.0000

Computed properties:
total magnetic moment = 0.00 μB/f.u.
relative energy among the computed polymorphs = 0 meV per atom
electronic total energy = -19.25 eV per cell
space-group type = P4/mmm, No. 123